1) {
  "formula": "HoErGePt",
  "functional": "PBE",
  "state": "relaxed",
  "dos_ef_per_ev_atom": 0.359,
  "total_magnetization_mub_per_cell": 0.00,
  "sg": "No. 38",
  "mass_density_kg_m3": 11161,
  "volume_a3_per_cell": 89.3,
  "lattice_angstrom": [[3.8869, 0.0000, 0.0000], [0.0000, 4.2573, 0.0000], [-1.9434, 0.0000, 5.3940]],
  "species": ["Pt", "Ge", "Er", "Ho"],
  "fractional_positions": [[0.4156, 0.0000, 0.8312], [0.5827, 0.5000, 0.1654], [0.1408, 0.0000, 0.2815], [0.8609, 0.5000, 0.7218]]
}

=====

2) {
  "formula": "HoErGePt",
  "functional": "PBE",
  "state": "relaxed",
  "dos_ef_per_ev_atom": 0.243,
  "total_magnetization_mub_per_cell": 0.00,
  "sg": "No. 216",
  "mass_density_kg_m3": 11438,
  "volume_a3_per_cell": 87.1,
  "lattice_angstrom": [[4.9755, 0.0000, 0.0000], [2.4878, 4.3089, 0.0000], [2.4878, 1.4363, 4.0625]],
  "species": ["Pt", "Er", "Ho", "Ge"],
  "fractional_positions": [[0.2500, 0.2500, 0.2500], [0.5000, 0.5000, 0.5000], [0.0000, 0.0000, 0.0000], [0.7500, 0.7500, 0.7500]]
}

=====

Energies relative to the most stable structure are 1) 0.000; 2) 0.133, reported in eV/atom.

=====

1) {
  "formula": "HoErGeRh",
  "functional": "PBE",
  "state": "relaxed",
  "dos_ef_per_ev_atom": 0.515,
  "total_magnetization_mub_per_cell": 0.00,
  "sg": "No. 216",
  "mass_density_kg_m3": 10036,
  "volume_a3_per_cell": 84.0,
  "lattice_angstrom": [[-4.3715, -2.2433, -0.1582], [-0.3606, -4.7652, 1.1532], [-2.2181, -1.3585, 4.1716]],
  "species": ["Ho", "Ge", "Er", "Rh"],
  "fractional_positions": [[0.0000, 0.0000, 0.0000], [0.7500, 0.7500, 0.7500], [0.5000, 0.5000, 0.5000], [0.2500, 0.2500, 0.2500]]
}

=====

2) {
  "formula": "HoErGeRh",
  "functional": "PBE",
  "state": "relaxed",
  "dos_ef_per_ev_atom": 0.691,
  "total_magnetization_mub_per_cell": 0.00,
  "sg": "No. 38",
  "mass_density_kg_m3": 9667,
  "volume_a3_per_cell": 87.2,
  "lattice_angstrom": [[-0.0042, 4.0049, -0.0600], [-3.7569, -0.0293, -1.6927], [-2.1687, -1.9326, 4.8469]],
  "species": ["Rh", "Ge", "Ho", "Er"],
  "fractional_positions": [[0.4193, 0.0000, 0.8387], [0.5769, 0.5000, 0.1538], [0.8616, 0.5000, 0.7233], [0.1421, 0.0000, 0.2842]]
}

=====

Energies relative to the most stable structure are 1) 0.126; 2) 0.000, reported in eV/atom.

=====

1) {
  "formula": "Er2GeI",
  "functional": "PBE",
  "state": "relaxed",
  "dos_ef_per_ev_atom": 0.616,
  "total_magnetization_mub_per_cell": 0.00,
  "sg": "No. 160",
  "mass_density_kg_m3": 7866,
  "volume_a3_per_cell": 112.7,
  "lattice_angstrom": [[4.1674, 0.0000, 0.0000], [2.0837, 3.6091, 0.0000], [2.0837, 1.2030, 7.4961]],
  "species": ["I", "Er", "Er", "Ge"],
  "fractional_positions": [[0.4985, 0.4985, 0.5045], [0.2689, 0.2689, 0.1932], [0.0641, 0.0641, 0.8078], [0.6685, 0.6685, 0.9945]]
}

=====

2) {
  "formula": "Er2GeI",
  "functional": "PBE",
  "state": "relaxed",
  "dos_ef_per_ev_atom": 0.456,
  "total_magnetization_mub_per_cell": 0.00,
  "sg": "No. 166",
  "mass_density_kg_m3": 7860,
  "volume_a3_per_cell": 112.8,
  "lattice_angstrom": [[-1.0838, -1.3024, 3.8633], [-3.2587, -2.6315, 0.5019], [3.0715, -7.0334, 0.7939]],
  "species": ["Ge", "Er", "I", "Er"],
  "fractional_positions": [[0.0000, 0.0000, 0.0000], [0.2696, 0.2696, 0.1911], [0.5000, 0.5000, 0.5000], [0.7304, 0.7304, 0.8089]]
}

=====

Energies relative to the most stable structure are 1) 0.021; 2) 0.000, reported in eV/atom.

=====

1) {
  "formula": "ErGe2Ir4",
  "functional": "PBE",
  "state": "relaxed",
  "dos_ef_per_ev_atom": 0.375,
  "total_magnetization_mub_per_cell": 0.00,
  "sg": "No. 62",
  "mass_density_kg_m3": 15718,
  "volume_a3_per_cell": 457.0,
  "lattice_angstrom": [[-1.1707, -3.6523, -1.7809], [5.7044, -1.6127, -0.4425], [-0.9081, -7.7216, 16.4330]],
  "species": ["Ir", "Ir", "Er", "Ir", "Er", "Ge", "Ir", "Ir", "Ir", "Ge", "Ge", "Ge", "Ir", "Ir", "Ge", "Ge", "Ir", "Ir", "Ir", "Ge", "Ir", "Ir", "Ir", "Ge", "Er", "Ir", "Ir", "Er"],
  "fractional_positions": [[0.2500, 0.1696, 0.5313], [0.7500, 0.0282, 0.0860], [0.7500, 0.9698, 0.6261], [0.2500, 0.3304, 0.0313], [0.2500, 0.0302, 0.3739], [0.7500, 0.2180, 0.9596], [0.2500, 0.6807, 0.6818], [0.2500, 0.5282, 0.4140], [0.2500, 0.2718, 0.1857], [0.2500, 0.7180, 0.5404], [0.2500, 0.7820, 0.0404], [0.7500, 0.4513, 0.7187], [0.7500, 0.4718, 0.5860], [0.7500, 0.3193, 0.3182], [0.7500, 0.0487, 0.2187], [0.2500, 0.9513, 0.7813], [0.7500, 0.8304, 0.4687], [0.7500, 0.7282, 0.8143], [0.2500, 0.2282, 0.6857], [0.7500, 0.2820, 0.4596], [0.7500, 0.7718, 0.3143], [0.7500, 0.6696, 0.9687], [0.2500, 0.9718, 0.9140], [0.2500, 0.5487, 0.2813], [0.2500, 0.4698, 0.8739], [0.7500, 0.1807, 0.8182], [0.2500, 0.8193, 0.1818], [0.7500, 0.5302, 0.1261]]
}

=====

2) {
  "formula": "ErGe2Ir4",
  "functional": "PBE",
  "state": "relaxed",
  "dos_ef_per_ev_atom": 0.616,
  "total_magnetization_mub_per_cell": 0.00,
  "sg": "No. 65",
  "mass_density_kg_m3": 15306,
  "volume_a3_per_cell": 117.3,
  "lattice_angstrom": [[-2.8517, 1.9839, -2.1004], [-2.3043, -3.4089, -0.0913], [-1.9333, 3.6292, 6.0526]],
  "species": ["Ir", "Ir", "Ge", "Ir", "Ir", "Ge", "Er"],
  "fractional_positions": [[0.5000, 0.1789, 0.3579], [0.5000, 0.8211, 0.6421], [0.5000, 0.5866, 0.1733], [0.0000, 0.6832, 0.3664], [0.0000, 0.3168, 0.6336], [0.5000, 0.4134, 0.8267], [0.0000, 0.0000, 0.0000]]
}

=====

Energies relative to the most stable structure are 1) 0.000; 2) 0.022, reported in eV/atom.

=====

1) {
  "formula": "Er3Ge4Ir2",
  "functional": "PBE",
  "state": "relaxed",
  "dos_ef_per_ev_atom": 0.227,
  "total_magnetization_mub_per_cell": 0.00,
  "sg": "No. 12",
  "mass_density_kg_m3": 10961,
  "volume_a3_per_cell": 178.3,
  "lattice_angstrom": [[4.4633, 0.0000, 0.0000], [-2.2317, 5.0042, -1.5530], [0.0000, -0.3979, 8.1049]],
  "species": ["Ge", "Ge", "Er", "Ge", "Ge", "Ir", "Er", "Ir", "Er"],
  "fractional_positions": [[0.0468, 0.0935, 0.3802], [0.6874, 0.3748, 0.0248], [0.3198, 0.6396, 0.3567], [0.9532, 0.9065, 0.6198], [0.3126, 0.6252, 0.9752], [0.5670, 0.1341, 0.2509], [0.6802, 0.3604, 0.6433], [0.4330, 0.8659, 0.7491], [0.0000, 0.0000, 0.0000]]
}

=====

2) {
  "formula": "Er3Ge4Ir2",
  "functional": "PBE",
  "state": "relaxed",
  "dos_ef_per_ev_atom": 0.456,
  "total_magnetization_mub_per_cell": 0.00,
  "sg": "No. 12",
  "mass_density_kg_m3": 11062,
  "volume_a3_per_cell": 176.7,
  "lattice_angstrom": [[4.2912, 0.0000, 0.0000], [-2.1456, 5.3449, -0.1835], [0.0000, -2.4171, 7.7850]],
  "species": ["Er", "Ge", "Ir", "Ir", "Ge", "Ge", "Er", "Er", "Ge"],
  "fractional_positions": [[0.6264, 0.2528, 0.6974], [0.9163, 0.8326, 0.6032], [0.6869, 0.3739, 0.3671], [0.3131, 0.6261, 0.6329], [0.7081, 0.4161, 0.0727], [0.0837, 0.1674, 0.3968], [0.3736, 0.7472, 0.3026], [0.0000, 0.0000, 0.0000], [0.2919, 0.5839, 0.9273]]
}

=====

Energies relative to the most stable structure are 1) 0.016; 2) 0.000, reported in eV/atom.

=====

1) {
  "formula": "LaErGe",
  "functional": "PBE",
  "state": "relaxed",
  "dos_ef_per_ev_atom": 0.466,
  "total_magnetization_mub_per_cell": 0.00,
  "sg": "No. 156",
  "mass_density_kg_m3": 7231,
  "volume_a3_per_cell": 87.0,
  "lattice_angstrom": [[-0.2332, 1.3425, 4.1425], [-1.2516, -4.4277, 1.3644], [4.6320, 1.2474, -0.1435]],
  "species": ["La", "Er", "Ge"],
  "fractional_positions": [[0.6494, 0.6667, 0.3333], [0.1337, 0.0000, 0.0000], [0.2169, 0.3333, 0.6667]]
}

=====

2) {
  "formula": "LaErGe",
  "functional": "PBE",
  "state": "relaxed",
  "dos_ef_per_ev_atom": 0.890,
  "total_magnetization_mub_per_cell": 1.29,
  "sg": "No. 139",
  "mass_density_kg_m3": 7468,
  "volume_a3_per_cell": 168.5,
  "lattice_angstrom": [[-2.8995, -3.4445, -0.1822], [2.5927, -2.0194, -3.0830], [4.3421, -1.1136, 7.6742]],
  "species": ["Er", "La", "La", "Er", "Ge", "Ge"],
  "fractional_positions": [[0.5000, 0.0000, 0.0000], [0.6796, 0.6796, 0.3591], [0.3204, 0.3204, 0.6409], [0.0000, 0.5000, 0.0000], [0.1253, 0.1253, 0.2506], [0.8747, 0.8747, 0.7494]]
}

=====

3) {
  "formula": "LaErGe",
  "functional": "PBE",
  "state": "relaxed",
  "dos_ef_per_ev_atom": 1.005,
  "total_magnetization_mub_per_cell": 0.00,
  "sg": "No. 216",
  "mass_density_kg_m3": 7069,
  "volume_a3_per_cell": 89.0,
  "lattice_angstrom": [[-3.3606, 0.6415, 3.6614], [0.1715, -2.8868, 4.0924], [1.4196, 1.9572, 4.3892]],
  "species": ["Er", "Ge", "La"],
  "fractional_positions": [[0.0000, 0.0000, 0.0000], [0.2500, 0.2500, 0.2500], [0.5000, 0.5000, 0.5000]]
}

=====

Energies relative to the most stable structure are 1) 0.194; 2) 0.000; 3) 0.142, reported in eV/atom.